1.
Entry from the Alexandria database: an optimized crystal structure of EuAg2F4 (PBE-GGA).

Output
**Crystal system**: tetragonal
**Uncorrected energy**: -5.46 eV/atom
**Formation energy without anion corrections**: -14.740 eV per formula unit

Cell lengths 4.7975, 4.7975, 6.7877 Å; angles 110.69, 110.69, 90.00 degrees
With the nearest neighbours (Å) after each atom.
Element x y z (fractional)
Eu1 0.0000 0.0000 0.0000  6 F 2.26-2.40
Ag1 0.6209 0.6209 0.2419  1 F 2.20
Ag2 0.3791 0.3791 0.7581  1 F 2.20
F1 0.8079 0.8079 0.6158  1 Ag 2.20, 1 Eu 2.26
F2 0.0000 0.5000 0.0000  2 Eu 2.40
F3 0.5000 0.0000 0.0000  2 Eu 2.40
F4 0.1921 0.1921 0.3842  1 Ag 2.20, 1 Eu 2.26



2.
Entry from the Alexandria database: an optimized crystal structure of Eu2AgF (PBE-GGA).

Output
**Crystal system**: trigonal
**Uncorrected energy**: -7.64 eV/atom
**Formation energy without anion corrections**: -5.287 eV per formula unit

Cell lengths 4.0967, 4.0967, 7.4345 Å; angles 74.01, 74.01, 60.00 degrees
With the nearest neighbours (Å) after each atom.
Element x y z (fractional)
Eu1 0.2634 0.2634 0.2098  3 F 2.79
Eu2 0.7366 0.7366 0.7902  3 F 2.79
F1 0.0000 0.0000 0.0000  6 Eu 2.79
Ag1 0.5000 0.5000 0.5000  6 Eu 3.13



formation energy without anion corrections of number 1 (EuAg2F4)? -14.740 eV per formula unit